No. 1
Density functional theory data (PBE) for a relaxed CaFe2P crystal.

Unit cell a=4.4122 b=4.4122 c=4.4122 alpha=119.92 beta=119.92 gamma=90.14
Element x y z (fractional)
Ca: 0.0000 0.0000 0.0000
Fe: 0.2500 0.7500 0.5000
Fe: 0.5000 0.5000 0.0000
P: 0.7500 0.2500 0.5000

Energy of formation   175 meV/atom
Density of states at the Fermi level   0.521 states/eV per atom
Total magnetic moment   1.25 μB per atom
V   61 Å³ per cell

=====

No. 2
Density functional theory data (PBE) for a relaxed HoLuSn crystal.

Unit cell a=5.0979 b=5.0979 c=3.7120 alpha=90.00 beta=90.00 gamma=120.00
Element x y z (fractional)
Ho: 0.0000 0.0000 0.0000
Lu: 0.3333 0.6667 0.4513
Sn: 0.6667 0.3333 0.6881

Energy of formation   -332 meV/atom
Energy relative to the lowest polymorph listed for this composition   88 meV/atom
Density of states at the Fermi level   0.970 states/eV per atom
Total magnetic moment   0.00 μB per atom
V   84 Å³ per cell

=====

No. 3
Density functional theory data (PBE) for a relaxed Na2NiAs crystal.

Unit cell a=8.0311 b=8.0311 c=8.0311 alpha=94.13 beta=94.13 gamma=148.87
Element x y z (fractional)
Na: 0.3750 0.1234 0.2484
Na: 0.8734 0.6250 0.7484
Na: 0.8750 0.1266 0.7516
Na: 0.8766 0.1250 0.2516
Ni: 0.0000 0.0000 0.0000
Ni: 0.7500 0.2500 0.5000
As: 0.2500 0.7500 0.5000
As: 0.5000 0.5000 0.0000

Energy of formation   -129 meV/atom
Density of states at the Fermi level   0.678 states/eV per atom
Total magnetic moment   0.00 μB per atom
V   258 Å³ per cell

=====

No. 4
Density functional theory data (PBE) for a relaxed RbTmHgSe3 crystal.

Unit cell a=9.1000 b=4.2475 c=10.4078 alpha=90.00 beta=109.34 gamma=90.00
Element x y z (fractional)
Rb: 0.2220 0.2500 0.2473
Rb: 0.7780 0.7500 0.7527
Tm: 0.3308 0.7500 0.8654
Tm: 0.6692 0.2500 0.1346
Hg: 0.0876 0.2500 0.6143
Hg: 0.9124 0.7500 0.3857
Se: 0.1150 0.2500 0.8731
Se: 0.2405 0.7500 0.5536
Se: 0.4662 0.7500 0.1472
Se: 0.5338 0.2500 0.8528
Se: 0.7595 0.2500 0.4464
Se: 0.8850 0.7500 0.1269

E_form (uncorrected)   -1.186 eV per atom
Total magnetic moment   0.00 μB per atom
V   380 Å³ per cell

=====

No. 5
Density functional theory data (PBE) for a relaxed Al2TeAs crystal.

Unit cell a=4.7778 b=3.9593 c=4.9853 alpha=90.00 beta=107.97 gamma=90.00
Element x y z (fractional)
Al: 0.2284 0.0000 0.2736
Al: 0.7716 0.0000 0.7264
Te: 0.5000 0.5000 0.0000
As: 0.0000 0.5000 0.5000

E_form (uncorrected)   0.019 eV per atom
Energy relative to the lowest polymorph listed for this composition   268 meV/atom
Density of states at the Fermi level   0.547 states/eV per atom
Total magnetic moment   0.00 μB per atom
V   90 Å³ per cell

=====

No. 6
Density functional theory data (PBE) for a relaxed InGa2Re2 crystal.

Unit cell a=7.1611 b=7.1611 c=3.2654 alpha=90.00 beta=90.00 gamma=90.00
Element x y z (fractional)
In: 0.0000 0.0000 0.0000
In: 0.5000 0.5000 0.0000
Ga: 0.1537 0.3463 0.5000
Ga: 0.3463 0.8463 0.5000
Ga: 0.6537 0.1537 0.5000
Ga: 0.8463 0.6537 0.5000
Re: 0.1380 0.6380 0.0000
Re: 0.3620 0.1380 0.0000
Re: 0.6380 0.8620 0.0000
Re: 0.8620 0.3620 0.0000

Energy of formation   331 meV/atom
Density of states at the Fermi level   1.108 states/eV per atom
Total magnetic moment   0.00 μB per atom
V   167 Å³ per cell

=====

No. 7
Density functional theory data (PBE) for a relaxed CeCdSnO crystal.

Unit cell a=9.7903 b=9.7903 c=9.7903 alpha=161.11 beta=161.11 gamma=26.84
Element x y z (fractional)
Ce: 0.0000 0.0000 0.0000
Cd: 0.2930 0.2930 0.0000
Sn: 0.6521 0.6521 0.0000
O: 0.4679 0.4679 0.0000

E_form (uncorrected)   -1.219 eV per atom
Density of states at the Fermi level   1.447 states/eV per atom
Total magnetic moment   0.21 μB per atom
V   98 Å³ per cell

=====

No. 8
Density functional theory data (PBE) for a relaxed HoTmAlCd crystal.

Unit cell a=5.1537 b=5.1537 c=5.1537 alpha=60.00 beta=60.00 gamma=60.00
Element x y z (fractional)
Ho: 0.0000 0.0000 0.0000
Tm: 0.5000 0.5000 0.5000
Al: 0.2500 0.2500 0.2500
Cd: 0.7500 0.7500 0.7500

Energy of formation   -345 meV/atom
Energy relative to the lowest polymorph listed for this composition   16 meV/atom
Density of states at the Fermi level   0.866 states/eV per atom
Total magnetic moment   0.00 μB per atom
V   97 Å³ per cell